Compound: WCl
Source: Alexandria via LeMat-Bulk
Functional: PBE
Structure: optimized geometry

a b c (Å): 5.529 5.529 10.595
angles (deg): 90.00 90.00 90.00
Atoms (fractional coordinates):
Cl: 0.891 0.854 0.358
W: 0.880 0.755 0.105
Cl: 0.646 0.391 0.108
W: 0.120 0.245 0.605
W: 0.745 0.380 0.855
Cl: 0.109 0.146 0.858
Cl: 0.391 0.646 0.892
W: 0.380 0.745 0.145
Cl: 0.854 0.891 0.642
Cl: 0.354 0.609 0.608
W: 0.755 0.880 0.895
W: 0.620 0.255 0.645
Cl: 0.146 0.109 0.142
Cl: 0.609 0.354 0.392
W: 0.255 0.620 0.355
W: 0.245 0.120 0.395

Results
**Density of states at the Fermi level**: 9.0 states/eV per cell
**Total magnetic moment**: 0.00 μB per formula unit
**Polymorph energy (0 for the lowest one)**: 791 meV per atom
**Final energy**: -6.85 eV per atom
**E_form (uncorrected)**: 0.548 eV per atom
**Volume**: 20.24 Å³ per atom
**Symmetry**: P4_32_12 (96)